This record from Alexandria via LeMat-Bulk describes crystalline CsSc2Te4Au at its relaxed geometry. The functional is PBE-GGA.

Results
Total magnetic moment, μB per cell: 0.0
Energy, eV/f.u.: -37.25
Formation energy (no corrections), meV/atom: -986

a = 4.1337 Å, b = 9.1999 Å, c = 15.5427 Å
α = 90.00°, β = 90.00°, γ = 102.98°
Atoms (fractional coordinates):
Cs1 0.1743 0.3486 0.7500
Cs2 0.8257 0.6514 0.2500
Sc1 0.4108 0.8215 0.5920
Sc2 0.5892 0.1785 0.0920
Sc3 0.5892 0.1785 0.4080
Sc4 0.4108 0.8215 0.9080
Te1 0.2011 0.4022 0.0988
Te2 0.7989 0.5978 0.5988
Te3 0.7989 0.5978 0.9012
Te4 0.2011 0.4022 0.4012
Te5 0.0000 0.0000 0.5000
Te6 0.0000 0.0000 0.0000
Te7 0.4893 0.9785 0.7500
Te8 0.5107 0.0215 0.2500
Au1 0.8798 0.7595 0.7500
Au2 0.1202 0.2405 0.2500